No. 1
First-principles (PBEsol) data for an optimized crystal structure of AgRuCl2, as listed in Alexandria.

a = 6.5465 Å, b = 6.5465 Å, c = 6.5465 Å
α = 90.00°, β = 90.00°, γ = 90.00°
Space group F-43m (No. 216)
Unique sites:
1 Ag 0.0000 0.0000 0.0000 [4 per cell]
2 Ru 0.2500 0.2500 0.2500 [4 per cell]
3 Cl 0.0000 0.0000 0.5000 [4 per cell]
4 Cl 0.2500 0.2500 0.7500 [4 per cell]

Values from the calculation:
- E_tot (eV per cell) = -56.67
- excess energy over the best structure of this formula in the dataset (meV/atom) = 374
- V (Å³/atom) = 17.5
- E_form (uncorrected) (eV per formula unit) = 3.3

=====

No. 2
First-principles (PBEsol) data for an optimized crystal structure of AgRuCl2, as listed in Alexandria.

a = 6.4734 Å, b = 6.4734 Å, c = 6.4734 Å
α = 90.00°, β = 90.00°, γ = 90.00°
Space group Fm-3m (No. 225)
Unique sites:
1 Ag 0.0000 0.0000 0.0000 [4 per cell]
2 Ru 0.0000 0.0000 0.5000 [4 per cell]
3 Cl 0.2500 0.2500 0.2500 [8 per cell]

Values from the calculation:
- E_tot (eV per cell) = -61.93
- excess energy over the best structure of this formula in the dataset (meV/atom) = 45
- V (Å³/atom) = 17.0
- E_form (uncorrected) (eV per formula unit) = 2.0

=====

No. 3
First-principles (PBEsol) data for an optimized crystal structure of AgRuCl2, as listed in Alexandria.

a = 3.5643 Å, b = 3.5643 Å, c = 11.2976 Å
α = 90.00°, β = 90.00°, γ = 90.00°
Space group I-4m2 (No. 119)
Unique sites:
1 Ag 0.0000 0.0000 0.0000 [2 per cell]
2 Ru 0.0000 0.5000 0.7500 [2 per cell]
3 Cl 0.0000 0.0000 0.5000 [2 per cell]
4 Cl 0.0000 0.5000 0.2500 [2 per cell]

Values from the calculation:
- E_tot (eV per cell) = -30.93
- excess energy over the best structure of this formula in the dataset (meV/atom) = 49
- V (Å³/atom) = 17.9
- E_form (uncorrected) (eV per formula unit) = 2.0

=====

- The lowest E_tot belongs to which entry?
  number 2

=====

- The highest excess energy over the best structure of this formula in the dataset belongs to which entry?
  number 1